DFT (GGA-PBE) results for a relaxed TaCdOs3 crystal.

Unit cell a=4.7813 b=4.7813 c=4.7813 alpha=90.00 beta=90.00 gamma=90.00
Element x y z (fractional)
Ta (0.0000, 0.0000, 0.0000)
Cd (0.5000, 0.5000, 0.5000)
Os (0.0000, 0.0000, 0.5000)
Os (0.0000, 0.5000, 0.0000)
Os (0.5000, 0.0000, 0.0000)

Its crystal system is cubic. As for the energy of formation: 2.031 eV/atom. As for the density of states at the Fermi level: 6.762 states/eV/f.u.